{
  "formula": "K3Bi4S8",
  "functional": "GGA-PBE",
  "state": "optimized geometry",
  "lattice_angstrom": [[5.907, -5.996, 0.000], [5.907, 5.996, 0.000], [-5.644, 0.000, 5.955]],
  "species": ["K", "K", "K", "Bi", "Bi", "Bi", "Bi", "S", "S", "S", "S", "S", "S", "S", "S"],
  "frac_coords": [[0.000, 0.000, 0.000], [0.000, 0.500, 0.000], [0.500, 0.000, 0.000], [0.000, 0.500, 0.500], [0.500, 0.000, 0.500], [0.500, 0.500, 0.000], [0.500, 0.500, 0.500], [0.263, 0.737, 0.000], [0.267, 0.267, 0.519], [0.267, 0.733, 0.500], [0.289, 0.289, 0.053], [0.711, 0.711, 0.947], [0.733, 0.267, 0.500], [0.733, 0.733, 0.481], [0.737, 0.263, 0.000]],
  "volume_a3_per_cell": 421.88,
  "dft_energy_ev_per_cell": -59.5,
  "density_g_cm3": 4.8,
  "formation_energy_uncorrected_ev_per_atom": -0.51
}